The following is a DFT calculation (PBE) of Ta2CrNi after structural relaxation.

abc: 3.314 4.383 8.173
angles: 90.00 90.00 90.00
Space group Cmmm (No. 65)
Unique sites:
Ta (0.000, 0.000, 0.247) x4
Cr (0.000, 0.500, 0.500) x2
Ni (0.000, 0.500, 0.000) x2

Calculated values
raw total energy = -39.022 eV per formula unit
energy relative to the elements = 0.09 eV/f.u.
density of states at the Fermi level = 7.662 states/eV/cell